(1)
ZrTi2Ir2 | GGA-PBE | optimized geometry

Cell lengths 7.5416, 7.5416, 2.9928 Å; angles 90.00, 90.00, 90.00 degrees
Fractional positions:
Ir 0.3636 0.8636 0.0000
Ir 0.8636 0.6364 0.0000
Ir 0.6364 0.1364 0.0000
Ir 0.1364 0.3636 0.0000
Zr 0.0000 0.0000 0.0000
Zr 0.5000 0.5000 0.0000
Ti 0.1586 0.6586 0.5000
Ti 0.6586 0.8414 0.5000
Ti 0.8414 0.3414 0.5000
Ti 0.3414 0.1586 0.5000

DOS(E_F) ... 13.47 states/eV per cell
Energy above the lowest structure with this stoichiometry ... 27 meV per atom
Volume ... 170 Å³/cell
ΔE_f ... -0.64 eV per atom
Total moment ... 0.00 Bohr magnetons per cell
SG ... P4/mbm

(2)
Zr2TiIr | GGA-PBE | optimized geometry

Cell lengths 7.6287, 7.6287, 6.0917 Å; angles 51.23, 51.23, 90.00 degrees
Fractional positions:
Ir 0.0000 0.0000 0.0000
Ir 0.7500 0.2500 0.5000
Zr 0.6594 0.1250 0.2500
Zr 0.0906 0.6250 0.2500
Zr 0.3750 0.3406 0.7500
Zr 0.8750 0.9094 0.7500
Ti 0.5000 0.5000 0.0000
Ti 0.2500 0.7500 0.5000

DOS(E_F) ... 7.60 states/eV per cell
Volume ... 165 Å³/cell
ΔE_f ... -0.04 eV per atom
Total moment ... 0.00 Bohr magnetons per cell
SG ... I-42d

(3)
Zr2TiIr2 | GGA-PBE | optimized geometry

Cell lengths 7.8767, 7.8767, 3.0466 Å; angles 90.00, 90.00, 90.00 degrees
Last column: magnetic moment on the atom in μB.
Fractional positions:
Ir 0.1499 0.6499 0.5000  -0.01
Ir 0.6499 0.8501 0.5000  -0.01
Ir 0.8501 0.3501 0.5000  -0.01
Ir 0.3501 0.1499 0.5000  -0.01
Zr 0.3498 0.8498 0.0000  0.08
Zr 0.8498 0.6502 0.0000  0.08
Zr 0.6502 0.1502 0.0000  0.08
Zr 0.1502 0.3498 0.0000  0.08
Ti 0.0000 0.0000 0.0000  1.22
Ti 0.5000 0.5000 0.0000  1.22

DOS(E_F) ... 5.30 states/eV per cell
Energy above the lowest structure with this stoichiometry ... 319 meV per atom
Volume ... 189 Å³/cell
ΔE_f ... -0.42 eV per atom
Total moment ... 3.35 Bohr magnetons per cell
SG ... P4/mbm

(4)
ZrTi5Ir6 | GGA-PBE | optimized geometry

Cell lengths 4.2511, 7.4542, 7.4542 Å; angles 113.01, 106.57, 106.57 degrees
Fractional positions:
Ir 0.2717 0.1025 0.4408
Ir 0.7283 0.5592 0.8975
Ir 0.7832 0.2832 0.2832
Ir 0.2168 0.7168 0.7168
Ir 0.2717 0.4408 0.1025
Ir 0.7283 0.8975 0.5592
Zr 0.0000 0.0000 0.0000
Ti 0.5000 0.1545 0.8455
Ti 0.0000 0.3182 0.6818
Ti 0.5000 0.5000 0.5000
Ti 0.0000 0.6818 0.3182
Ti 0.5000 0.8455 0.1545

DOS(E_F) ... 10.50 states/eV per cell
Volume ... 186 Å³/cell
ΔE_f ... -0.85 eV per atom
Total moment ... 0.00 Bohr magnetons per cell
SG ... Immm

(5)
ZrTiIr3 | GGA-PBE | optimized geometry

Cell lengths 4.5670, 4.5670, 4.5670 Å; angles 90.00, 90.00, 90.00 degrees
Fractional positions:
Ir 0.0000 0.5000 0.0000
Ir 0.0000 0.0000 0.5000
Ir 0.5000 0.0000 0.0000
Zr 0.5000 0.5000 0.5000
Ti 0.0000 0.0000 0.0000

DOS(E_F) ... 4.96 states/eV per cell
Energy above the lowest structure with this stoichiometry ... 0 meV per atom
Volume ... 95 Å³/cell
ΔE_f ... 0.42 eV per atom
Total moment ... 0.00 Bohr magnetons per cell
SG ... Pm-3m

(6)
ZrTi2Ir2 | GGA-PBE | optimized geometry

Cell lengths 6.5333, 6.5333, 6.5192 Å; angles 118.81, 118.81, 93.18 degrees
Fractional positions:
Zr 0.8748 0.6252 0.7500
Zr 0.1252 0.3748 0.2500
Ti 0.2162 0.9701 0.4318
Ti 0.4701 0.7162 0.9318
Ti 0.7838 0.0299 0.5682
Ti 0.5299 0.2838 0.0682
Ir 0.1575 0.3425 0.7500
Ir 0.4100 0.0900 0.2500
Ir 0.5900 0.9100 0.7500
Ir 0.8425 0.6575 0.2500

DOS(E_F) ... 8.84 states/eV per cell
Energy above the lowest structure with this stoichiometry ... 362 meV per atom
Volume ... 198 Å³/cell
ΔE_f ... -0.30 eV per atom
Total moment ... 0.00 Bohr magnetons per cell
SG ... C2/c

(7)
ZrTi4Ir | GGA-PBE | optimized geometry

Cell lengths 4.5384, 5.4076, 5.4963 Å; angles 61.78, 65.62, 65.19 degrees
Fractional positions:
Zr 0.0000 0.5000 0.5000
Ti 0.6565 0.0013 0.6857
Ti 0.3435 0.9987 0.3143
Ti 0.6974 0.4490 0.1562
Ti 0.3026 0.5510 0.8438
Ir 0.0000 0.0000 0.0000

DOS(E_F) ... 6.78 states/eV per cell
Volume ... 104 Å³/cell
ΔE_f ... -0.35 eV per atom
Total moment ... 0.00 Bohr magnetons per cell
SG ... C2/m

(8)
Zr2Ti2Ir | GGA-PBE | optimized geometry

Cell lengths 6.5021, 6.5021, 4.6059 Å; angles 90.00, 90.00, 90.00 degrees
Fractional positions:
Ir 0.0000 0.0000 0.0000
Ir 0.5000 0.5000 0.0000
Zr 0.1610 0.6610 0.5000
Zr 0.6610 0.8390 0.5000
Zr 0.8390 0.3390 0.5000
Zr 0.3390 0.1610 0.5000
Ti 0.3507 0.8507 0.0000
Ti 0.8507 0.6493 0.0000
Ti 0.6493 0.1493 0.0000
Ti 0.1493 0.3507 0.0000

DOS(E_F) ... 13.10 states/eV per cell
Energy above the lowest structure with this stoichiometry ... 0 meV per atom
Volume ... 195 Å³/cell
ΔE_f ... -0.28 eV per atom
Total moment ... 0.00 Bohr magnetons per cell
SG ... P4/mbm

(9)
Zr2TiIr2 | GGA-PBE | optimized geometry

Cell lengths 4.0773, 5.6171, 5.3776 Å; angles 121.48, 112.28, 90.00 degrees
Fractional positions:
Zr 0.7973 0.2973 0.5946
Zr 0.2027 0.7027 0.4054
Ti 0.0000 0.0000 0.0000
Ir 0.5000 0.7359 0.0000
Ir 0.5000 0.2641 0.0000

DOS(E_F) ... 5.06 states/eV per cell
Energy above the lowest structure with this stoichiometry ... 0 meV per atom
Volume ... 94 Å³/cell
ΔE_f ... -0.74 eV per atom
Total moment ... 0.00 Bohr magnetons per cell
SG ... Immm

(10)
Tl3Ir4 | GGA-PBE | optimized geometry

Cell lengths 13.5039, 13.5039, 13.5039 Å; angles 165.43, 165.43, 20.66 degrees
Fractional positions:
Tl 0.0000 0.0000 0.0000
Tl 0.6967 0.6967 0.0000
Tl 0.3033 0.3033 0.0000
Ir 0.8854 0.8854 0.0000
Ir 0.1146 0.1146 0.0000
Ir 0.5854 0.5854 0.0000
Ir 0.4146 0.4146 0.0000

DOS(E_F) ... 5.32 states/eV per cell
Energy above the lowest structure with this stoichiometry ... 0 meV per atom
Volume ... 156 Å³/cell
ΔE_f ... 0.59 eV per atom
Total moment ... 0.00 Bohr magnetons per cell
SG ... I4/mmm

(11)
TlIr3 | GGA-PBE | optimized geometry

Cell lengths 4.8672, 4.8672, 2.8677 Å; angles 90.00, 90.00, 106.96 degrees
Fractional positions:
Ir 0.0000 0.5000 0.5000
Ir 0.5000 0.0000 0.5000
Ir 0.5000 0.5000 0.0000
Tl 0.0000 0.0000 0.0000

DOS(E_F) ... 4.61 states/eV per cell
Volume ... 65 Å³/cell
ΔE_f ... 0.49 eV per atom
Total moment ... 0.00 Bohr magnetons per cell
SG ... Cmmm

(12)
Tl3Ir | GGA-PBE | optimized geometry

Cell lengths 4.5574, 4.5574, 4.5574 Å; angles 90.00, 90.00, 90.00 degrees
Fractional positions:
Ir 0.0000 0.0000 0.0000
Tl 0.0000 0.5000 0.5000
Tl 0.5000 0.0000 0.5000
Tl 0.5000 0.5000 0.0000

DOS(E_F) ... 3.64 states/eV per cell
Energy above the lowest structure with this stoichiometry ... 487 meV per atom
Volume ... 95 Å³/cell
ΔE_f ... 0.62 eV per atom
Total moment ... 0.00 Bohr magnetons per cell
SG ... Pm-3m